Record 1
Compound: AcB2SbO8
Source: the Alexandria database
Functional: PBE
Structure: optimized geometry

## Properties
magnetization: 4.06 Bohr magnetons per cell
formation energy without anion corrections: -24.00 eV/f.u.
energy: -7.104 eV/atom
theoretical density: 5.6 g/cm³

Cell: 7.8043 5.0222 7.5309 Å, 90.00 92.97 90.00°
Space group C2/m (No. 12)
Asymmetric unit:
Ac1 0.0000 0.0000 0.0000 (multiplicity 2)
B1 0.1274 0.5000 0.2894 (multiplicity 4)
Sb1 0.0000 0.0000 0.5000 (multiplicity 2)
O1 0.0201 0.2579 0.2995 (multiplicity 8)
O2 0.1954 0.5000 0.1136 (multiplicity 4)
O3 0.2449 0.5000 0.4517 (multiplicity 4)



Record 2
Compound: SnAsI2N
Source: the Alexandria database
Functional: PBE
Structure: optimized geometry

## Properties
E above lowest polymorph: 0.372 eV/atom
magnetization: 0.00 Bohr magnetons per cell
formation energy without anion corrections: 4.51 eV/f.u.
energy: -3.114 eV/atom
theoretical density: 5.4 g/cm³

Cell: 6.0649 6.0649 3.8565 Å, 90.00 90.00 90.00°
Space group P4/mmm (No. 123)
Asymmetric unit:
Sn1 0.0000 0.0000 0.0000 (multiplicity 1)
As1 0.5000 0.5000 0.5000 (multiplicity 1)
I1 0.0000 0.5000 0.0000 (multiplicity 2)
N1 0.0000 0.0000 0.5000 (multiplicity 1)



Record 3
Compound: Na2Be2IrO6
Source: the Alexandria database
Functional: PBE
Structure: optimized geometry

## Properties
magnetization: 2.38 Bohr magnetons per cell
formation energy without anion corrections: -17.20 eV/f.u.
energy: -5.991 eV/atom
theoretical density: 4.6 g/cm³

Cell: 5.3086 5.3086 15.7229 Å, 90.00 90.00 120.00°
Space group R-3m (No. 166, hexagonal axes)
Asymmetric unit:
Na1 0.0000 0.0000 0.2027 (multiplicity 6)
Be1 0.0000 0.0000 0.4034 (multiplicity 6)
Ir1 0.0000 0.0000 0.0000 (multiplicity 3)
O1 0.0019 0.5009 0.2586 (multiplicity 18)



Record 4
Compound: Tb6Ga3C
Source: the Alexandria database
Functional: PBE
Structure: optimized geometry

## Properties
magnetization: 0.00 Bohr magnetons per cell
energy: -4.998 eV/atom
theoretical density: 7.8 g/cm³

Cell: 6.4105 7.9076 11.4102 Å, 90.00 119.68 90.00°
Space group P2_1/c (No. 14)
Asymmetric unit:
Tb1 0.0857 0.0467 0.2301 (multiplicity 4)
Tb2 0.1814 0.7093 0.0604 (multiplicity 4)
Tb3 0.3849 0.1528 0.0594 (multiplicity 4)
Ga1 0.3180 0.1149 0.7433 (multiplicity 4)
Ga2 0.5000 0.0000 0.5000 (multiplicity 2)
C1 0.0000 0.0000 0.0000 (multiplicity 2)



Record 5
Compound: HoIn2TeO8
Source: the Alexandria database
Functional: PBE
Structure: optimized geometry

## Properties
magnetization: 1.68 Bohr magnetons per cell
formation energy without anion corrections: -19.80 eV/f.u.
energy: -6.055 eV/atom
theoretical density: 6.7 g/cm³

Cell: 6.8760 6.9746 6.7554 Å, 90.00 90.00 90.00°
Space group Cmmm (No. 65)
Asymmetric unit:
Ho1 0.0000 0.0000 0.0000 (multiplicity 2)
In1 0.0000 0.5000 0.2571 (multiplicity 4)
Te1 0.0000 0.0000 0.5000 (multiplicity 2)
O1 0.0000 0.1847 0.2830 (multiplicity 8)
O2 0.1844 0.5000 0.0000 (multiplicity 4)
O3 0.2134 0.5000 0.5000 (multiplicity 4)



Record 6
Compound: Na2PdSe2O6
Source: the Alexandria database
Functional: PBE
Structure: optimized geometry

## Properties
magnetization: 0.00 Bohr magnetons per cell
formation energy without anion corrections: -11.90 eV/f.u.
energy: -5.132 eV/atom
theoretical density: 3.7 g/cm³

Cell: 11.4108 5.4514 6.9111 Å, 90.00 120.75 90.00°
Space group C2/m (No. 12)
Asymmetric unit:
Na1 0.1464 0.0000 0.2872 (multiplicity 4)
Pd1 0.0000 0.5000 0.5000 (multiplicity 2)
Se1 0.1973 0.0000 0.7970 (multiplicity 4)
O1 0.0890 0.0000 0.8934 (multiplicity 4)
O2 0.1534 0.2466 0.6057 (multiplicity 8)



Question: energy of number 3 (Na2Be2IrO6)?
Answer: -5.991 eV/atom